No. 1
# CuBr

An optimized crystal structure of CuBr (GGA-PBEsol, Alexandria via LeMat-Bulk).

The structure in extended XYZ format:
```
16
Lattice="-4.8213 -1.0955 4.6075 2.5317 -6.1529 1.1862 4.0024 2.5722 4.7998" Properties=species:S:1:pos:R:3 pbc="T T T"
Br 1.4367 -3.9225 8.8862
Br -1.0143 -4.1155 6.2755
Br 0.6853 -4.0247 3.1190
Br 2.7271 -0.5607 4.3180
Br 1.0275 -0.6515 7.4745
Br -1.4235 -0.8444 4.8638
Br 3.1363 -3.8318 5.7297
Br 0.2760 -0.7536 1.7073
Cu -0.2709 -5.8082 4.4515
Cu 3.2047 -4.5761 3.4249
Cu 1.9837 1.1321 6.1420
Cu 1.0567 -2.8850 6.5358
Cu -1.4919 -0.1001 7.1686
Cu 4.5323 -1.6529 5.5092
Cu -2.8196 -3.0233 5.0843
Cu 0.6560 -1.7911 4.0577
```

Final energy in eV per atom: -3.270
Space group: No. 205

***

No. 2
# Be4TlP

An optimized crystal structure of Be4TlP (GGA-PBEsol, Alexandria via LeMat-Bulk).

The structure in extended XYZ format:
```
6
Lattice="-0.6878 2.5037 3.9421 -4.1382 2.1466 0.7407 -2.9285 -1.6064 3.3354" Properties=species:S:1:pos:R:3 pbc="T T T"
Be -4.9620 2.2053 3.3857
Be -4.3654 0.3544 4.6654
Be -3.2604 2.3814 4.9646
Be -2.9211 1.1466 3.0204
Tl 0.0000 0.0000 0.0000
P -5.8159 2.2829 6.0136
```

Space group: No. 216
Formation enthalpy at 0 K in eV/f.u.: 3.44

***

No. 3
# TiSiNi

An optimized crystal structure of TiSiNi (GGA-PBEsol, Alexandria via LeMat-Bulk).

The structure in extended XYZ format:
```
12
Lattice="3.6264 0.0000 0.0000 0.0000 6.0899 0.0000 0.0000 0.0000 6.9504" Properties=species:S:1:pos:R:3 pbc="T T T"
Ti 0.9066 3.1849 4.7332
Ti 0.9066 0.1400 5.6923
Ti 2.7198 2.9050 2.2172
Ti 2.7198 5.9499 1.2580
Si 2.7198 1.4261 4.3258
Si 0.9066 1.6188 0.8506
Si 2.7198 4.4711 6.0997
Si 0.9066 4.6637 2.6245
Ni 0.9066 3.9006 0.4145
Ni 2.7198 5.2342 3.8897
Ni 2.7198 2.1893 6.5359
Ni 0.9066 0.8556 3.0607
```

Final energy in eV per atom: -7.651
Space group: No. 62

***

No. 4
# MnPb2Br

An optimized crystal structure of MnPb2Br (GGA-PBEsol, Alexandria via LeMat-Bulk).

The structure in extended XYZ format:
```
4
Lattice="-0.0707 -3.2038 -0.7271 -0.4442 -1.2007 5.3342 -5.4664 0.2131 -0.4073" Properties=species:S:1:pos:R:3 pbc="T T T"
Pb -2.7332 0.1065 -0.2036
Pb -0.2221 -0.6004 2.6671
Br -2.9907 -2.0957 2.1000
Mn -0.0354 -1.6019 -0.3635
```

Final energy in eV per atom: -4.665
Space group: No. 123

***

No. 5
# NbFeAsSe2

An optimized crystal structure of NbFeAsSe2 (GGA-PBEsol, Alexandria via LeMat-Bulk).

The structure in extended XYZ format:
```
5
Lattice="4.9240 0.0000 0.0000 0.0000 4.9240 0.0000 0.0000 0.0000 5.0120" Properties=species:S:1:pos:R:3 pbc="T T T"
Se 0.0000 2.4620 0.0000
Se 2.4620 0.0000 0.0000
Nb 0.0000 0.0000 0.0000
Fe 2.4620 2.4620 2.5060
As 0.0000 0.0000 2.5060
```

Final energy in eV per atom: -5.874
Space group: No. 123

***

No. 6
# BeCuPd2C

An optimized crystal structure of BeCuPd2C (GGA-PBEsol, Alexandria via LeMat-Bulk).

The structure in extended XYZ format:
```
5
Lattice="-2.3148 -2.5300 -1.4008 2.4543 -0.4842 -3.1811 1.9896 -2.9159 1.9788" Properties=species:S:1:pos:R:3 pbc="T T T"
Be 1.0645 -2.9651 -1.3015
Pd 1.2271 -0.2421 -1.5905
Pd 0.9948 -1.4580 0.9894
Cu -1.1574 -1.2650 -0.7004
C 0.0000 0.0000 0.0000
```

Space group: No. 123
Formation enthalpy at 0 K in eV/f.u.: 1.39